(1)
Below is Sm5Y3Ho after structural relaxation, with properties calculated at the GGA-PBE level.

Cell lengths 12.1478, 12.1478, 11.5914 Å; angles 43.72, 43.72, 32.32 degrees
With the nearest neighbours (Å) after each atom.
Positions (direct):
Sm1 0.3926 0.3874 0.1712  4 Sm 3.38-3.63, 4 Y 3.51-3.77, 1 Ho 3.77
Sm2 0.3157 0.6843 0.7500  1 Ho 3.03, 2 Sm 3.04
Sm3 0.2641 0.0790 0.5066  1 Sm 3.04, 2 Y 3.34
Sm4 0.6843 0.3157 0.2500  1 Ho 3.03, 2 Sm 3.04
Sm5 0.7359 0.9210 0.4934  1 Sm 3.04, 2 Y 3.34
Sm6 0.9210 0.7359 0.9934  1 Sm 3.04, 2 Y 3.34
Sm7 0.3874 0.3926 0.6712  4 Sm 3.38-3.63, 4 Y 3.51-3.77, 1 Ho 3.77
Sm8 0.0790 0.2641 0.0066  1 Sm 3.04, 2 Y 3.34
Sm9 0.6126 0.6074 0.3288  4 Sm 3.38-3.63, 4 Y 3.51-3.77, 1 Ho 3.77
Sm10 0.6074 0.6126 0.8288  4 Sm 3.38-3.63, 4 Y 3.51-3.77, 1 Ho 3.77
Ho1 0.7633 0.2367 0.7500  1 Sm 3.03, 2 Y 3.31
Ho2 0.2367 0.7633 0.2500  1 Sm 3.03, 2 Y 3.31
Y1 0.3612 0.1608 0.1088  7 Sm 3.34-3.65, 1 Y 3.56
Y2 0.0000 0.0000 0.5000  2 Ho 3.31, 2 Sm 3.60
Y3 0.0000 0.0000 0.0000  2 Ho 3.31, 2 Sm 3.60
Y4 0.1608 0.3612 0.6088  7 Sm 3.34-3.65, 1 Y 3.56
Y5 0.8392 0.6388 0.3912  7 Sm 3.34-3.65, 1 Y 3.56
Y6 0.6388 0.8392 0.8912  7 Sm 3.34-3.65, 1 Y 3.56

**Offset from the most stable computed form**: 0 kJ/mol of formula units
**Mass density**: 6.5 g cm⁻³
**V**: 602 Å³ per cell

***

(2)
Below is Ca2CuCl after structural relaxation, with properties calculated at the GGA-PBE level.

Cell lengths 8.1729, 8.1729, 8.1729 Å; angles 153.32, 154.28, 37.40 degrees
With the nearest neighbours (Å) after each atom.
Positions (direct):
Ca1 0.0588 0.0588 0.0000  2 Cu 2.89, 4 Cl 3.07
Ca2 0.7851 0.2851 0.5000  4 Cu 2.93, 2 Cl 3.21
Cu1 0.2001 0.7001 0.5000  6 Ca 2.89-2.93
Cl1 0.4559 0.4559 0.0000  6 Ca 3.07-3.21

**Offset from the most stable computed form**: 40 kJ/mol of formula units
**Mass density**: 2.8 g cm⁻³
**V**: 106 Å³ per cell
**Raw formation energy**: -730 meV/atom

***

(3)
Below is AcZnCd after structural relaxation, with properties calculated at the GGA-PBE level.

Cell lengths 3.8820, 4.9692, 4.9692 Å; angles 120.00, 90.00, 90.00 degrees
With the nearest neighbours (Å) after each atom.
Positions (direct):
Zn1 0.1666 0.0000 0.0000  3 Cd 2.87
Ac1 0.6666 0.6667 0.3333  6 Cd 3.46, 6 Zn 3.46
Cd1 0.1667 0.3333 0.6667  3 Zn 2.87

**Offset from the most stable computed form**: 2 kJ/mol of formula units
**Mass density**: 8.1 g cm⁻³
**V**: 83 Å³ per cell

***

(4)
Below is NaRuCl5 after structural relaxation, with properties calculated at the GGA-PBE level.

Cell lengths 7.3139, 7.3139, 10.0654 Å; angles 105.21, 105.21, 121.42 degrees
With the nearest neighbours (Å) after each atom.
Positions (direct):
Na1 0.1966 0.3034 0.7500  6 Cl 2.84-2.94
Na2 0.8034 0.6966 0.2500  6 Cl 2.84-2.94
Cl1 0.8895 0.1921 0.8915  1 Ru 2.31
Cl2 0.3079 0.6105 0.6085  1 Ru 2.31
Cl3 0.6317 0.7929 0.0120  1 Ru 2.36
Cl4 0.1105 0.8079 0.1085  1 Ru 2.31
Cl5 0.8287 0.6713 0.7500  2 Ru 2.39
Cl6 0.3683 0.2071 0.9880  1 Ru 2.36
Cl7 0.1713 0.3287 0.2500  2 Ru 2.39
Cl8 0.2929 0.1317 0.5120  1 Ru 2.36
Cl9 0.7071 0.8683 0.4880  1 Ru 2.36
Cl10 0.6921 0.3895 0.3915  1 Ru 2.31
Ru1 0.0000 0.0000 0.0000  6 Cl 2.31-2.39
Ru2 0.5000 0.5000 0.5000  6 Cl 2.31-2.39

**Mass density**: 2.6 g cm⁻³
**V**: 388 Å³ per cell
**Raw formation energy**: -826 meV/atom

***

(5)
Below is ZnCo2Au after structural relaxation, with properties calculated at the GGA-PBE level.

Cell lengths 3.4070, 2.7502, 6.4003 Å; angles 64.49, 90.00, 90.00 degrees
With the nearest neighbours (Å) after each atom.
Positions (direct):
Zn1 0.0000 0.5254 0.4743  5 Co 2.49-2.61, 4 Au 2.72, 2 Zn 2.75
Co1 0.0000 0.9563 0.0435  4 Co 2.43-2.44, 1 Zn 2.49
Co2 0.5000 0.2732 0.2274  4 Co 2.43-2.44, 4 Zn 2.61
Au1 0.5000 0.7451 0.7547  4 Zn 2.72, 6 Co 2.73-3.05, 2 Au 2.75

**VASP energy**: -4.64 eV/atom
**Mass density**: 11.7 g cm⁻³
**V**: 54 Å³ per cell

***

(6)
Below is Th4Bi3N2 after structural relaxation, with properties calculated at the GGA-PBE level.

Cell lengths 4.2588, 7.3720, 9.5118 Å; angles 118.48, 90.00, 106.79 degrees
With the nearest neighbours (Å) after each atom.
Positions (direct):
Th1 0.6924 0.3847 0.1303  1 N 2.29
Th2 0.1246 0.2491 0.4137  3 N 2.34-2.46
Th3 0.3076 0.6153 0.8697  1 N 2.29
Th4 0.8754 0.7509 0.5863  3 N 2.34-2.46
N1 0.6947 0.3895 0.3730  4 Th 2.29-2.46
N2 0.3053 0.6105 0.6270  4 Th 2.29-2.46
Bi1 0.6052 0.2105 0.7088  7 Th 3.27-3.64, 1 Bi 3.58
Bi2 0.3948 0.7895 0.2912  7 Th 3.27-3.64, 1 Bi 3.58
Bi3 0.0000 0.0000 0.0000  6 Th 3.18-3.42

**Mass density**: 10.6 g cm⁻³
**V**: 248 Å³ per cell
**Raw formation energy**: -1102 meV/atom

***

(7)
Below is BaHfSe2 after structural relaxation, with properties calculated at the GGA-PBE level.

Cell lengths 9.8849, 9.8849, 9.8849 Å; angles 22.69, 22.69, 22.69 degrees
With the nearest neighbours (Å) after each atom.
Positions (direct):
Ba1 0.0000 0.0000 0.0000  2 Se 3.26
Se1 0.1130 0.1130 0.1130  3 Hf 2.73
Se2 0.8870 0.8870 0.8870  3 Hf 2.73
Hf1 0.5000 0.5000 0.5000  6 Se 2.73

**Offset from the most stable computed form**: 0 kJ/mol of formula units
**Mass density**: 6.2 g cm⁻³
**V**: 126 Å³ per cell
**Raw formation energy**: -1066 meV/atom

***

(8)
Below is K3ZrF after structural relaxation, with properties calculated at the GGA-PBE level.

Cell lengths 5.6299, 5.6299, 5.6299 Å; angles 90.00, 90.00, 90.00 degrees
With the nearest neighbours (Å) after each atom.
Positions (direct):
K1 0.5000 0.0000 0.0000  2 F 2.81
K2 0.0000 0.0000 0.5000  2 F 2.81
K3 0.0000 0.5000 0.0000  2 F 2.81
F1 0.0000 0.0000 0.0000  6 K 2.81
Zr1 0.5000 0.5000 0.5000  12 K 3.98

**Offset from the most stable computed form**: 0 kJ/mol of formula units
**Mass density**: 2.1 g cm⁻³
**V**: 178 Å³ per cell
**Raw formation energy**: -240 meV/atom